Entry 1:
The following is a DFT calculation (PBE) of a geometry-optimized TiGaNi6 structure.

Cell and atoms, written as CIF:
```
data_TiGaNi6
_chemical_formula_sum 'Ti2 Ga2 Ni12'
_cell_length_a 7.226
_cell_length_b 4.782
_cell_length_c 6.447
_cell_angle_alpha 90.00
_cell_angle_beta 108.32
_cell_angle_gamma 90.00
_space_group_name_H-M_alt 'C 1 2/m 1'
_space_group_IT_number 12
loop_
_space_group_symop_operation_xyz
'x,y,z'
'-x,-y,-z'
'-x,y,-z'
'x,-y,z'
'x+1/2,y+1/2,z'
'-x+1/2,-y+1/2,-z'
'-x+1/2,y+1/2,-z'
'x+1/2,-y+1/2,z'
loop_
_atom_site_label
_atom_site_fract_x
_atom_site_fract_y
_atom_site_fract_z
_atom_site_occupancy
Ti1 0.000 0.000 0.000 1
Ga1 0.000 0.500 0.500 1
Ni1 0.142 0.000 0.437 1
Ni2 0.204 0.239 0.800 1
```



Entry 2:
The following is a DFT calculation (PBE) of a geometry-optimized Ti2Ga3Ni structure.

Cell and atoms, written as CIF:
```
data_Ti2Ga3Ni
_chemical_formula_sum 'Ti2 Ga3 Ni1'
_cell_length_a 2.941
_cell_length_b 4.208
_cell_length_c 7.269
_cell_angle_alpha 90.00
_cell_angle_beta 90.00
_cell_angle_gamma 90.00
_space_group_name_H-M_alt 'P m m 2'
_space_group_IT_number 25
loop_
_space_group_symop_operation_xyz
'x,y,z'
'-x,-y,z'
'-x,y,z'
'x,-y,z'
loop_
_atom_site_label
_atom_site_fract_x
_atom_site_fract_y
_atom_site_fract_z
_atom_site_occupancy
Ti1 0.000 0.000 0.000 1
Ti2 0.000 0.500 0.493 1
Ga1 0.500 0.000 0.649 1
Ga2 0.500 0.500 0.175 1
Ga3 0.500 0.500 0.832 1
Ni1 0.500 0.000 0.326 1
```



Entry 3:
The following is a DFT calculation (PBE) of a geometry-optimized TiGa4Ni15 structure.

Cell and atoms, written as CIF:
```
data_TiGa4Ni15
_chemical_formula_sum 'Ti1 Ga4 Ni15'
_cell_length_a 3.589
_cell_length_b 3.589
_cell_length_c 17.924
_cell_angle_alpha 90.00
_cell_angle_beta 90.00
_cell_angle_gamma 90.00
_space_group_name_H-M_alt 'P 4/m m m'
_space_group_IT_number 123
_space_group_name_Hall '-P 4 2'
loop_
_atom_site_label
_atom_site_fract_x
_atom_site_fract_y
_atom_site_fract_z
_atom_site_occupancy
Ti1 0.000 0.000 0.000 1
Ga1 0.000 0.000 0.201 1
Ga2 0.000 0.000 0.400 1
Ni1 0.000 0.500 0.101 1
Ni2 0.000 0.500 0.300 1
Ni3 0.000 0.500 0.500 1
Ni4 0.500 0.500 0.000 1
Ni5 0.500 0.500 0.200 1
Ni6 0.500 0.500 0.400 1
```



Entry 4:
The following is a DFT calculation (PBE) of a geometry-optimized TiGa2Ni structure.

Cell and atoms, written as CIF:
```
data_TiGa2Ni
_chemical_formula_sum 'Ti3 Ga6 Ni3'
_cell_length_a 4.0193
_cell_length_b 4.0193
_cell_length_c 12.6756
_cell_angle_alpha 90.00
_cell_angle_beta 90.00
_cell_angle_gamma 120.00
_space_group_name_H-M_alt 'R -3 m'
_space_group_IT_number 166
_space_group_name_Hall '-R 3 2"'
loop_
_atom_site_label
_atom_site_fract_x
_atom_site_fract_y
_atom_site_fract_z
_atom_site_occupancy
Ti1 0.0000 0.0000 0.0000 1
Ga1 0.0000 0.0000 0.2285 1
Ni1 0.0000 0.0000 0.5000 1
```



Entry 5:
The following is a DFT calculation (PBE) of a geometry-optimized Ti4GaNi2 structure.

Cell and atoms, written as CIF:
```
data_Ti4GaNi2
_chemical_formula_sum 'Ti12 Ga3 Ni6'
_cell_length_a 4.0924
_cell_length_b 4.0924
_cell_length_c 24.0894
_cell_angle_alpha 90.00
_cell_angle_beta 90.00
_cell_angle_gamma 120.00
_space_group_name_H-M_alt 'R -3 m'
_space_group_IT_number 166
_space_group_name_Hall '-R 3 2"'
loop_
_atom_site_label
_atom_site_fract_x
_atom_site_fract_y
_atom_site_fract_z
_atom_site_occupancy
Ti1 0.0000 0.0000 0.1172 1
Ti2 0.0000 0.0000 0.2968 1
Ga1 0.0000 0.0000 0.5000 1
Ni1 0.0000 0.0000 0.3980 1
```



Entry 6:
The following is a DFT calculation (PBE) of a geometry-optimized TiGa2Ni8 structure.

Cell and atoms, written as CIF:
```
data_TiGa2Ni8
_chemical_formula_sum 'Ti2 Ga4 Ni16'
_cell_length_a 7.327
_cell_length_b 9.814
_cell_length_c 3.810
_cell_angle_alpha 90.00
_cell_angle_beta 90.12
_cell_angle_gamma 90.00
_space_group_name_H-M_alt 'C 1 2/m 1'
_space_group_IT_number 12
loop_
_space_group_symop_operation_xyz
'x,y,z'
'-x,-y,-z'
'-x,y,-z'
'x,-y,z'
'x+1/2,y+1/2,z'
'-x+1/2,-y+1/2,-z'
'-x+1/2,y+1/2,-z'
'x+1/2,-y+1/2,z'
loop_
_atom_site_label
_atom_site_fract_x
_atom_site_fract_y
_atom_site_fract_z
_atom_site_occupancy
Ti1 0.000 0.000 0.000 1
Ga1 0.000 0.371 0.500 1
Ni1 0.000 0.243 0.000 1
Ni2 0.168 0.500 0.999 1
Ni3 0.171 0.131 0.501 1
```



no.,V (A^3/atom),total DFT energy (no corrections) (eV/atom)
1,13.2,-5.711
2,15.0,-5.531
3,11.5,-5.668
4,14.8,-5.264
5,16.6,-6.634
6,12.5,-5.604